The following is a PBE+U calculation of an optimized crystal structure of NiTeF3, from the Alexandria database.

a = 4.0941 Å, b = 4.0941 Å, c = 4.0941 Å
α = 90.00°, β = 90.00°, γ = 90.00°
Fractional coordinates of all 5 atoms:
Ni1 0.0000 0.0000 0.0000
Te1 0.5000 0.5000 0.5000
F1 0.0000 0.5000 0.0000
F2 0.0000 0.0000 0.5000
F3 0.5000 0.0000 0.0000

Values from the calculation:
Space-group type: Pm-3m, No. 221
Distance to the lowest polymorph of the same formula (eV/atom): 0.000